Entry 1:
This record from Alexandria via LeMat-Bulk describes an optimized crystal structure of YTaBe2. The functional is PBE-GGA.

Calculated values
Relative energy among the computed polymorphs in meV per atom: 145.7
N(E_F) in states/eV/atom: 0.22
Symmetry: Fm-3m

abc: 4.4943 4.4943 4.4943
angles: 60.00 60.00 60.00
Closest atoms and distances in Å follow each position.
Positions (direct):
Y  0.0000  0.0000  0.0000  8 Be 2.75
Be  0.2500  0.2500  0.2500  4 Ta 2.75, 4 Y 2.75
Be  0.7500  0.7500  0.7500  4 Ta 2.75, 4 Y 2.75
Ta  0.5000  0.5000  0.5000  8 Be 2.75

---

Entry 2:
This record from Alexandria via LeMat-Bulk describes an optimized crystal structure of PmMg4. The functional is PBE-GGA.

Calculated values
Relative energy among the computed polymorphs in meV per atom: 391.6
N(E_F) in states/eV/atom: 0.57
Symmetry: P4/mbm

abc: 6.3133 9.8527 9.8527
angles: 90.00 90.00 90.00
Closest atoms and distances in Å follow each position.
Positions (direct):
Pm  0.0000  0.2637  0.7637  10 Mg 3.55-3.72
Pm  0.0000  0.7637  0.7363  10 Mg 3.55-3.72
Pm  0.0000  0.2363  0.2637  10 Mg 3.55-3.72
Pm  0.0000  0.7363  0.2363  10 Mg 3.55-3.72
Mg  0.5000  0.8952  0.6048  5 Mg 2.85-3.00
Mg  0.5000  0.6048  0.1048  5 Mg 2.85-3.00
Mg  0.5000  0.3952  0.8952  5 Mg 2.85-3.00
Mg  0.5000  0.1048  0.3952  5 Mg 2.85-3.00
Mg  0.5000  0.1958  0.1043  7 Mg 2.79-3.09
Mg  0.5000  0.1043  0.8042  7 Mg 2.79-3.09
Mg  0.5000  0.8957  0.1958  7 Mg 2.79-3.09
Mg  0.5000  0.8042  0.8957  7 Mg 2.79-3.09
Mg  0.5000  0.3042  0.6043  7 Mg 2.79-3.09
Mg  0.5000  0.6958  0.3957  7 Mg 2.79-3.09
Mg  0.5000  0.6043  0.6958  7 Mg 2.79-3.09
Mg  0.5000  0.3957  0.3042  7 Mg 2.79-3.09
Mg  0.2062  0.0000  0.0000  5 Mg 2.60-2.87
Mg  0.7938  0.5000  0.5000  5 Mg 2.60-2.87
Mg  0.7938  0.0000  0.0000  5 Mg 2.60-2.87
Mg  0.2062  0.5000  0.5000  5 Mg 2.60-2.87

---

Entry 3:
This record from Alexandria via LeMat-Bulk describes an optimized crystal structure of CaSi2Ni2Ir. The functional is PBE-GGA.

Calculated values
N(E_F) in states/eV/atom: 0.71
Formation energy (no corrections) in eV/atom: -0.05
Symmetry: P4/mmm

abc: 4.5290 4.5290 5.4326
angles: 90.00 90.00 90.00
Closest atoms and distances in Å follow each position.
Positions (direct):
Ca  0.0000  0.0000  0.5000  2 Ir 2.72
Si  0.5000  0.0000  0.0000  2 Ir 2.26
Si  0.0000  0.5000  0.0000  2 Ir 2.26
Ni  0.5000  0.5000  0.7679  1 Ni 2.52, 4 Si 2.59
Ni  0.5000  0.5000  0.2321  1 Ni 2.52, 4 Si 2.59
Ir  0.0000  0.0000  0.0000  4 Si 2.26

---

Look up the N(E_F) of the third one. 0.71 states/eV/atom